Computed, not measured: a geometry-optimized Th5In4Hg structure at the PBE level of DFT.

The value obtained for the density of states at the Fermi level is 1.247 states/eV per atom. For the magnetization, the calculation gives 0.005 Bohr magnetons per cell. The volume comes out at 283.45 Å³/cell. For the formation energy from the elements, the calculation gives -0.28 eV/atom. Its crystal system is tetragonal.

The space group is P4/mmm (No. 123) and the conventional cell measures 3.505, 3.505 and 23.076 Å, with angles of 90.00, 90.00 and 90.00 degrees. The asymmetric unit holds Th at (0.000, 0.000, 0.000), Th at (0.000, 0.000, 0.201), Th at (0.000, 0.000, 0.402), In at (0.500, 0.500, 0.101), In at (0.500, 0.500, 0.302) and Hg at (0.500, 0.500, 0.500).

=====

Computed, not measured: a geometry-optimized Th4InHg structure at the PBE level of DFT.

The value obtained for the density of states at the Fermi level is 1.239 states/eV per atom. For the magnetization, the calculation gives 0.000 Bohr magnetons per cell. The volume comes out at 362.79 Å³/cell. For the formation energy from the elements, the calculation gives -0.16 eV/atom. For the excess energy over the best structure of this formula in the dataset, the calculation gives 0.000 eV per atom. Its crystal system is tetragonal.

The space group is P4/mcc (No. 124) and the conventional cell measures 7.830, 7.830 and 5.918 Å, with angles of 90.00, 90.00 and 90.00 degrees. The asymmetric unit holds Th at (0.152, 0.345, 0.000), In at (0.500, 0.500, 0.250) and Hg at (0.000, 0.000, 0.250).

=====

Computed, not measured: a geometry-optimized Th4InHg7 structure at the PBE level of DFT.

The value obtained for the density of states at the Fermi level is 0.732 states/eV per atom. For the magnetization, the calculation gives 0.000 Bohr magnetons per cell. The volume comes out at 700.39 Å³/cell. For the formation energy from the elements, the calculation gives -0.02 eV/atom. Its crystal system is monoclinic.

The space group is C2/m (No. 12) and the conventional cell measures 13.361, 5.475 and 11.278 Å, with angles of 90.00, 121.90 and 90.00 degrees. The asymmetric unit holds Th at (0.077, 0.000, 0.275), Th at (0.236, 0.000, 0.824), In at (0.000, 0.500, 0.500), Hg at (0.000, 0.000, 0.500), Hg at (0.085, 0.500, 0.836), Hg at (0.133, 0.000, 0.037) and Hg at (0.204, 0.500, 0.414).

=====

Computed, not measured: a geometry-optimized Th6In5Hg structure at the PBE level of DFT.

The value obtained for the density of states at the Fermi level is 1.147 states/eV per atom. For the magnetization, the calculation gives 0.000 Bohr magnetons per cell. The volume comes out at 340.50 Å³/cell. For the formation energy from the elements, the calculation gives -0.28 eV/atom. Its crystal system is monoclinic.

The space group is P2/m (No. 10) and the conventional cell measures 4.944, 9.278 and 7.806 Å, with angles of 90.00, 108.02 and 90.00 degrees. The asymmetric unit holds Th at (0.000, 0.248, 0.000), Th at (0.334, 0.250, 0.667), In at (0.167, 0.500, 0.334), In at (0.168, 0.000, 0.336), In at (0.500, 0.500, 0.000) and Hg at (0.500, 0.000, 0.000).